VASP calculation (PBE-GGA) on an optimized crystal structure of Cs2Pr4S3O2.

abc: 4.7861 4.7861 13.5536
angles: 100.17 100.17 90.00
With the nearest neighbours (Å) after each atom.
Sites, in units of the cell vectors:
Cs: 0.3024 0.3024 0.6048  1 O 2.85
Cs: 0.6976 0.6976 0.3952  1 O 2.85
Pr: 0.4300 0.9300 0.8600  2 O 2.45
Pr: 0.9300 0.4300 0.8600  2 O 2.45
Pr: 0.0700 0.5700 0.1400  2 O 2.45
Pr: 0.5700 0.0700 0.1400  2 O 2.45
S: 0.0000 0.0000 0.0000  8 Pr 3.02
S: 0.1434 0.1434 0.2868  4 Pr 3.07
S: 0.8566 0.8566 0.7132  4 Pr 3.07
O: 0.4109 0.4109 0.8217  4 Pr 2.45
O: 0.5891 0.5891 0.1783  4 Pr 2.45

## Properties
uncorrected formation energy = -1.828 eV/atom
space group = I4/mmm, No. 139
N(E_F) = 4.174 states/eV/f.u.
total magnetization = 0.000 μB/f.u.

VASP calculation (PBE-GGA) on an optimized crystal structure of CsPrS2O8.

abc: 5.5587 5.5587 8.9809
angles: 90.00 90.00 120.00
With the nearest neighbours (Å) after each atom.
Sites, in units of the cell vectors:
Cs: 0.0000 0.0000 0.0000  12 O 3.37-3.56
Pr: 0.0000 0.0000 0.5000  6 O 2.37
S: 0.6667 0.3333 0.2778  4 O 1.46-1.50
S: 0.3333 0.6667 0.7222  4 O 1.46-1.50
O: 0.3333 0.6667 0.8847  1 S 1.46
O: 0.3825 0.2454 0.3373  1 S 1.50
O: 0.7546 0.1370 0.3373  1 S 1.50
O: 0.6667 0.3333 0.1153  1 S 1.46
O: 0.2454 0.8630 0.6627  1 S 1.50
O: 0.6175 0.7546 0.6627  1 S 1.50
O: 0.1370 0.3825 0.6627  1 S 1.50
O: 0.8630 0.6175 0.3373  1 S 1.50

## Properties
uncorrected formation energy = -2.073 eV/atom
space group = P-3, No. 147
N(E_F) = 0.000 states/eV/f.u.
total magnetization = 0.000 μB/f.u.

VASP calculation (PBE-GGA) on an optimized crystal structure of CsPrSO.

abc: 3.9550 3.9549 8.1535
angles: 90.09 104.01 120.00
With the nearest neighbours (Å) after each atom.
Sites, in units of the cell vectors:
Cs: 0.9650 0.3815 0.3600  3 S 3.27, 3 O 3.59-3.60
Pr: 0.2800 0.5374 0.8335  3 O 2.46
S: 0.0987 0.9475 0.0612  3 Pr 2.90
O: 0.5343 0.1643 0.7150  3 Pr 2.46

## Properties
uncorrected formation energy = -2.063 eV/atom
space group = Cm, No. 8
N(E_F) = 0.000 states/eV/f.u.
total magnetization = 0.000 μB/f.u.

VASP calculation (PBE-GGA) on an optimized crystal structure of Cs2PrSb2O6.

abc: 6.5192 6.5234 7.9324
angles: 106.38 90.00 119.98
With the nearest neighbours (Å) after each atom.
Sites, in units of the cell vectors:
Cs: 0.7859 0.5718 0.2839  9 O 3.24-3.58
Cs: 0.2141 0.4282 0.7161  9 O 3.24-3.58
Pr: 0.5000 0.0000 0.5000  6 O 2.40
Sb: 0.8959 0.7919 0.7829  3 O 1.94-1.95
Sb: 0.1041 0.2081 0.2171  3 O 1.94-1.95
O: 0.7137 0.4275 0.6913  1 Sb 1.95
O: 0.2906 0.1158 0.3347  1 Sb 1.94
O: 0.1748 0.8842 0.6653  1 Sb 1.94
O: 0.7094 0.8842 0.6653  1 Sb 1.94
O: 0.8252 0.1158 0.3347  1 Sb 1.94
O: 0.2863 0.5725 0.3087  1 Sb 1.95

## Properties
uncorrected formation energy = -1.824 eV/atom
space group = C2/m, No. 12
N(E_F) = 4.528 states/eV/f.u.
total magnetization = 0.000 μB/f.u.